[1]
! Pr2ScSi4Pt3 | Alexandria via LeMat-Bulk | PBE | optimized geometry; values from VASP
! Formation energy without anion corrections = -1.05 eV per atom
! M_tot = 0.000 Bohr magnetons per cell
! DFT total energy = -6.619 eV per atom
! Volume = 19.067 Å³/atom
&SYSTEM
  ibrav = 0, nat = 10, ntyp = 4
/
ATOMIC_SPECIES
Pr 140.91 Pr.upf
Sc 44.96 Sc.upf
Si 28.09 Si.upf
Pt 195.08 Pt.upf
CELL_PARAMETERS angstrom
4.2419 0.0000 0.0000
0.0000 4.2419 0.0000
0.0000 0.0000 10.5969
ATOMIC_POSITIONS angstrom
Pr 0.0000 2.1209 2.5149
Pr 2.1209 0.0000 8.0819
Sc 0.0000 0.0000 5.2984
Si 0.0000 0.0000 0.0000
Si 0.0000 2.1209 6.9168
Si 2.1209 0.0000 3.6800
Si 2.1209 2.1209 0.0000
Pt 0.0000 2.1209 9.3894
Pt 2.1209 0.0000 1.2075
Pt 2.1209 2.1209 5.2984


[2]
! PrScSi2Pt5 | Alexandria via LeMat-Bulk | PBE | optimized geometry; values from VASP
! Formation energy without anion corrections = -0.89 eV per atom
! M_tot = 0.000 Bohr magnetons per cell
! DFT total energy = -6.683 eV per atom
! Volume = 20.259 Å³/atom
&SYSTEM
  ibrav = 0, nat = 9, ntyp = 4
/
ATOMIC_SPECIES
Pr 140.91 Pr.upf
Sc 44.96 Sc.upf
Si 28.09 Si.upf
Pt 195.08 Pt.upf
CELL_PARAMETERS angstrom
4.1041 0.0000 0.0000
0.0000 4.1041 0.0000
0.0000 0.0000 10.8250
ATOMIC_POSITIONS angstrom
Pr 0.0000 0.0000 0.0000
Sc 0.0000 0.0000 5.4125
Si 2.0520 2.0520 2.3416
Si 2.0520 2.0520 8.4834
Pt 0.0000 2.0520 3.5279
Pt 0.0000 2.0520 7.2971
Pt 2.0520 0.0000 3.5279
Pt 2.0520 0.0000 7.2971
Pt 2.0520 2.0520 0.0000


What is the formula in the second record?
PrScSi2Pt5


Copy entry 1 word for word.
! Pr2ScSi4Pt3 | Alexandria via LeMat-Bulk | PBE | optimized geometry; values from VASP
! Formation energy without anion corrections = -1.05 eV per atom
! M_tot = 0.000 Bohr magnetons per cell
! DFT total energy = -6.619 eV per atom
! Volume = 19.067 Å³/atom
&SYSTEM
  ibrav = 0, nat = 10, ntyp = 4
/
ATOMIC_SPECIES
Pr 140.91 Pr.upf
Sc 44.96 Sc.upf
Si 28.09 Si.upf
Pt 195.08 Pt.upf
CELL_PARAMETERS angstrom
4.2419 0.0000 0.0000
0.0000 4.2419 0.0000
0.0000 0.0000 10.5969
ATOMIC_POSITIONS angstrom
Pr 0.0000 2.1209 2.5149
Pr 2.1209 0.0000 8.0819
Sc 0.0000 0.0000 5.2984
Si 0.0000 0.0000 0.0000
Si 0.0000 2.1209 6.9168
Si 2.1209 0.0000 3.6800
Si 2.1209 2.1209 0.0000
Pt 0.0000 2.1209 9.3894
Pt 2.1209 0.0000 1.2075
Pt 2.1209 2.1209 5.2984


Which value of M_tot does entry 2 give?
0.000 Bohr magnetons per cell